Record 1
First-principles (PBE) data for an optimized crystal structure of GaSnOs2C, as listed in the Alexandria database.

Calculated values
crystal system: tetragonal
energy: -25.49 eV/cell
calculated formation energy: 2645 meV per atom
space group: No. 123

abc: 4.977 4.007 4.977
angles: 90.00 90.00 90.00
Fractional coordinates of all 5 atoms:
C 0.000 0.500 0.000
Os 0.000 0.000 0.500
Os 0.500 0.000 0.000
Sn 0.000 0.000 0.000
Ga 0.500 0.500 0.500

***

Record 2
First-principles (PBE) data for an optimized crystal structure of TbPm3Th2S6, as listed in the Alexandria database.

Calculated values
crystal system: monoclinic
raw formation energy: -23.407 eV/f.u.
energy: -81.89 eV/cell
space group: No. 12

abc: 6.949 6.949 6.973
angles: 99.59 99.59 119.85
Fractional coordinates of all 12 atoms:
Tb 0.000 0.000 0.000
Pm 0.167 0.833 0.500
Pm 0.833 0.167 0.500
Pm 0.500 0.500 0.500
Th 0.333 0.667 0.000
Th 0.667 0.333 0.000
S 0.917 0.590 0.752
S 0.755 0.755 0.248
S 0.083 0.410 0.248
S 0.590 0.917 0.752
S 0.245 0.245 0.752
S 0.410 0.083 0.248

***

Record 3
First-principles (PBE) data for an optimized crystal structure of Nd3In3NiHg2, as listed in the Alexandria database.

Calculated values
crystal system: hexagonal
energy: -33.28 eV/cell
calculated formation energy: -487 meV per atom
space group: No. 189

abc: 4.349 7.754 7.754
angles: 120.00 90.00 90.00
Fractional coordinates of all 9 atoms:
Nd 0.000 0.000 0.391
Nd 0.000 0.609 0.609
Nd 0.000 0.391 0.000
In 0.500 0.767 0.000
In 0.500 0.233 0.233
In 0.500 0.000 0.767
Ni 0.000 0.000 0.000
Hg 0.500 0.333 0.667
Hg 0.500 0.667 0.333

***

Record 4
First-principles (PBE) data for an optimized crystal structure of Ac6As3S2Br, as listed in the Alexandria database.

Calculated values
crystal system: monoclinic
raw formation energy: -19.851 eV/f.u.
energy: -68.38 eV/cell
space group: No. 12

abc: 4.474 8.903 9.934
angles: 101.79 103.02 90.00
Fractional coordinates of all 12 atoms:
Ac 0.326 0.909 0.652
Ac 0.668 0.583 0.336
Ac 0.674 0.091 0.348
Ac 0.003 0.267 0.005
Ac 0.997 0.733 0.995
Ac 0.332 0.417 0.664
As 0.500 0.500 0.000
As 0.837 0.166 0.675
As 0.163 0.834 0.325
S 0.833 0.666 0.665
S 0.167 0.334 0.335
Br 0.500 0.000 0.000

***

Record 5
First-principles (PBE) data for an optimized crystal structure of BaCd3, as listed in the Alexandria database.

Calculated values
crystal system: hexagonal
energy: -11.33 eV/cell
calculated formation energy: -249 meV per atom
space group: No. 194

abc: 5.206 7.502 7.502
angles: 120.01 90.00 90.00
Fractional coordinates of all 8 atoms:
Ba 0.250 0.667 0.333
Ba 0.750 0.333 0.667
Cd 0.750 0.860 0.140
Cd 0.750 0.281 0.140
Cd 0.750 0.860 0.719
Cd 0.250 0.140 0.860
Cd 0.250 0.719 0.860
Cd 0.250 0.140 0.281

***

Record 6
First-principles (PBE) data for an optimized crystal structure of PrSn12Ir4, as listed in the Alexandria database.

Calculated values
crystal system: cubic
energy: -92.04 eV/cell
calculated formation energy: -223 meV per atom
space group: No. 204

abc: 8.211 8.211 8.211
angles: 109.47 109.47 109.47
Fractional coordinates of all 17 atoms:
Pr 0.000 0.000 0.000
Sn 0.840 0.339 0.178
Sn 0.339 0.499 0.160
Sn 0.822 0.160 0.661
Sn 0.339 0.178 0.840
Sn 0.178 0.840 0.339
Sn 0.661 0.501 0.840
Sn 0.499 0.160 0.339
Sn 0.501 0.840 0.661
Sn 0.661 0.822 0.160
Sn 0.840 0.661 0.501
Sn 0.160 0.339 0.499
Sn 0.160 0.661 0.822
Ir 0.000 0.500 0.000
Ir 0.500 0.000 0.000
Ir 0.500 0.500 0.500
Ir 0.000 0.000 0.500

***

Record 7
First-principles (PBE) data for an optimized crystal structure of AgIBr5, as listed in the Alexandria database.

Calculated values
crystal system: triclinic
raw formation energy: -0.585 eV/f.u.
energy: -26.70 eV/cell
space group: No. 2

abc: 8.890 10.406 9.706
angles: 100.58 123.20 113.13
Fractional coordinates of all 14 atoms:
Ag 0.500 0.000 0.000
Ag 0.500 0.000 0.500
I 0.893 0.743 0.393
I 0.107 0.257 0.607
Br 0.679 0.768 0.089
Br 0.141 0.707 0.312
Br 0.339 0.945 0.159
Br 0.662 0.758 0.474
Br 0.338 0.242 0.526
Br 0.867 0.292 0.290
Br 0.133 0.708 0.710
Br 0.661 0.055 0.841
Br 0.859 0.293 0.688
Br 0.321 0.232 0.911

***

Record 8
First-principles (PBE) data for an optimized crystal structure of PmYSbBr, as listed in the Alexandria database.

Calculated values
crystal system: cubic
raw formation energy: -4.170 eV/f.u.
energy: -21.18 eV/cell
space group: No. 216

abc: 5.332 5.332 5.332
angles: 60.00 60.00 60.00
Each line ends with the local moment (μB).
Fractional coordinates of all 4 atoms:
Y 0.500 0.500 0.500  0.21
Sb 0.750 0.750 0.750  -0.01
Br 0.250 0.250 0.250  -0.01
Pm 0.000 0.000 0.000  0.20

***

Number 1: density of states at the Fermi level 4.1 states/eV/cell. Number 2: density of states at the Fermi level 6.6 states/eV/cell. Number 3: density of states at the Fermi level 6.0 states/eV/cell. Number 4: density of states at the Fermi level 5.3 states/eV/cell. Number 5: density of states at the Fermi level 5.9 states/eV/cell. Number 6: density of states at the Fermi level 12.2 states/eV/cell. Number 7: density of states at the Fermi level 4.8 states/eV/cell. Number 8: density of states at the Fermi level 3.3 states/eV/cell.